Entry from the Alexandria database: a geometry-optimized AgPWO2 structure (PBE with a Hubbard U).

- Final energy: -21.78 eV per cell
- ρ: 7.49 g/cm³
- Total moment: 0.601 μB per atom

Structure (CIF):
```
data_AgPWO2
_symmetry_space_group_name_H-M 'P 4/m m m'
_symmetry_Int_Tables_number 123
_symmetry_space_group_name_Hall '-P 4 2'
_cell_length_a 3.9859
_cell_length_b 3.9859
_cell_length_c 4.9467
_cell_angle_alpha 90.00
_cell_angle_beta 90.00
_cell_angle_gamma 90.00
loop_
_atom_site_label
_atom_site_type_symbol
_atom_site_fract_x
_atom_site_fract_y
_atom_site_fract_z
_atom_site_occupancy
Ag1 Ag 0.0000 0.0000 0.0000 1
P1 P 0.0000 0.0000 0.5000 1
W1 W 0.5000 0.5000 0.5000 1
O1 O 0.0000 0.5000 0.0000 1
```